1.
Entry from Alexandria: IrN at its PBEsol-relaxed geometry (meta-GGA SCAN).

Lattice parameters (Å, degrees): 2.7238 2.7238 2.7238 90.00 90.00 90.00
Atoms (fractional coordinates):
Ir (0.0000, 0.0000, 0.0000)
N (0.5000, 0.5000, 0.5000)

Calculated values
Spin magnetization   0.00 μB/cell
E above lowest polymorph   212 kJ/mol of formula units
Raw formation energy   1.840 eV/atom
Crystal system   cubic
Calculated volume   20 Å³/f.u.
SG   Pm-3m, No. 221

=====

2.
Entry from Alexandria: Na3IrN at its PBEsol-relaxed geometry (meta-GGA SCAN).

Lattice parameters (Å, degrees): 4.5901 4.5901 4.5901 90.00 90.00 90.00
Last column: magnetic moment on the atom in μB.
Atoms (fractional coordinates):
Na (0.0000, 0.5000, 0.0000)  -0.01
Na (0.0000, 0.0000, 0.5000)  -0.01
Na (0.5000, 0.0000, 0.0000)  -0.01
Ir (0.5000, 0.5000, 0.5000)  1.64
N (0.0000, 0.0000, 0.0000)  1.06

Calculated values
Spin magnetization   3.00 μB/cell
Raw formation energy   0.968 eV/atom
Crystal system   cubic
Calculated volume   97 Å³/f.u.
SG   Pm-3m, No. 221

=====

3.
Entry from Alexandria: Na2IrN2 at its PBEsol-relaxed geometry (meta-GGA SCAN).

Lattice parameters (Å, degrees): 3.1947 3.1947 8.3967 90.00 90.00 120.00
Atoms (fractional coordinates):
Na (0.3333, 0.6667, 0.7068)
Na (0.6667, 0.3333, 0.2932)
Ir (0.0000, 0.0000, 0.0000)
N (0.3333, 0.6667, 0.1131)
N (0.6667, 0.3333, 0.8869)

Calculated values
Spin magnetization   0.00 μB/cell
Raw formation energy   0.189 eV/atom
Crystal system   trigonal
Calculated volume   74 Å³/f.u.
SG   P-3m1, No. 164

=====

For the records above, the corresponding mass density values read 16.9, 4.7, 6.0 g cm⁻³.